Record 1
A plane-wave DFT calculation with PBEsol was carried out for an optimized crystal structure of YCo12B6.

Geometry as POSCAR:
```
YCo12B6
1.0
4.633 2.675 2.436
-4.633 2.675 2.436
0.000 -5.350 2.436
Y Co B
1 12 6
Direct
0.000 0.000 0.000
0.132 0.500 0.868
0.132 0.868 0.500
0.186 0.456 0.456
0.456 0.186 0.456
0.456 0.456 0.186
0.500 0.132 0.868
0.500 0.868 0.132
0.544 0.544 0.814
0.544 0.814 0.544
0.814 0.544 0.544
0.868 0.132 0.500
0.868 0.500 0.132
0.233 0.233 0.679
0.233 0.679 0.233
0.321 0.767 0.767
0.679 0.233 0.233
0.767 0.321 0.767
0.767 0.767 0.321
```

- DOS at the Fermi energy: 13.1 states/eV per cell
- Electronic total energy: -7.87 eV/atom

=====

Record 2
A plane-wave DFT calculation with PBEsol was carried out for an optimized crystal structure of RbGaS2O8.

Geometry as POSCAR:
```
RbGaS2O8
1.0
4.929 0.000 0.000
-2.464 4.268 0.000
0.000 0.000 8.250
Rb Ga S O
1 1 2 8
Direct
0.000 0.000 0.000
0.000 0.000 0.500
0.333 0.667 0.710
0.667 0.333 0.290
0.105 0.347 0.650
0.242 0.895 0.650
0.333 0.667 0.886
0.347 0.105 0.350
0.653 0.758 0.650
0.667 0.333 0.114
0.758 0.653 0.350
0.895 0.242 0.350
```

- DOS at the Fermi energy: 0.0 states/eV per cell
- Electronic total energy: -6.23 eV/atom